Entry 1:
The following is a SCAN calculation of AlAgMo2 at its PBEsol-relaxed geometry, from Alexandria.

Summary:
Its theoretical density is 8.9 g/cm³. The value obtained for the formation energy is 0.156 eV per atom. The total magnetization is 0.00 μB/f.u. As for the space group: No. 65. The calculation puts the electronic total energy at -108.27 eV/cell.

Cell lengths 2.678, 2.678, 8.515 Å; angles 90.00, 90.00, 92.96 degrees
Element x y z (fractional)
Mo1 0.000 0.000 0.237
Mo2 0.000 0.000 0.763
Al1 0.500 0.500 0.000
Ag1 0.500 0.500 0.500

---

Entry 2:
The following is a SCAN calculation of LiCaIn2 at its PBEsol-relaxed geometry, from Alexandria.

Summary:
Its theoretical density is 4.8 g/cm³. The value obtained for the formation energy is -0.430 eV per atom. The total magnetization is 0.00 μB/f.u. As for the space group: No. 123. The calculation puts the electronic total energy at -80.54 eV/cell.

Cell lengths 3.658, 5.141, 5.141 Å; angles 90.00, 90.00, 90.00 degrees
Element x y z (fractional)
Ca1 0.500 0.000 0.000
In1 0.000 0.000 0.500
In2 0.000 0.500 0.000
Li1 0.500 0.500 0.500

---

- What is the formula in the second record?
  LiCaIn2

---

- Which formula does entry 2 have?
  LiCaIn2